No. 1
# TlCd2In, relaxed, DFT GGA-PBE
data_TlCd2In
_chemical_formula_sum 'Tl1 Cd2 In1'
_space_group_name_H-M_alt 'P 4/m m m'
_space_group_IT_number 123
_space_group_name_Hall '-P 4 2'
_cell_length_a 3.342
_cell_length_b 3.342
_cell_length_c 9.434
_cell_angle_alpha 90.00
_cell_angle_beta 90.00
_cell_angle_gamma 90.00
loop_
_atom_site_label
_atom_site_type_symbol
_atom_site_fract_x
_atom_site_fract_y
_atom_site_fract_z
_atom_site_occupancy
Tl1 Tl 0.000 0.000 0.000 1
Cd1 Cd 0.500 0.500 0.262 1
In1 In 0.000 0.000 0.500 1
# - density (kg/m³) = 8575
# - magnetic moment (μB/atom) = 0.000
# - ΔH_f (0 K) (kJ/mol of atoms) = 4.3
# - electronic total energy (eV/cell) = -6.76



No. 2
# Tl2CdIn, relaxed, DFT GGA-PBE
data_Tl2CdIn
_chemical_formula_sum 'Tl4 Cd2 In2'
_space_group_name_H-M_alt 'I m m m'
_space_group_IT_number 71
_space_group_name_Hall '-I 2 2'
_cell_length_a 3.291
_cell_length_b 5.760
_cell_length_c 12.529
_cell_angle_alpha 90.00
_cell_angle_beta 90.00
_cell_angle_gamma 90.00
loop_
_atom_site_label
_atom_site_type_symbol
_atom_site_fract_x
_atom_site_fract_y
_atom_site_fract_z
_atom_site_occupancy
Tl1 Tl 0.000 0.000 0.245 1
Cd1 Cd 0.000 0.000 0.000 1
In1 In 0.000 0.000 0.500 1
# - density (kg/m³) = 8894
# - magnetic moment (μB/atom) = 0.000
# - ΔH_f (0 K) (kJ/mol of atoms) = 10.0
# - electronic total energy (eV/cell) = -15.94



No. 3
# Tl2CdIn, relaxed, DFT GGA-PBE
data_Tl2CdIn
_chemical_formula_sum 'Tl2 Cd1 In1'
_space_group_name_H-M_alt 'P 1 m 1'
_space_group_IT_number 6
_space_group_name_Hall 'P -2y'
_cell_length_a 3.449
_cell_length_b 4.936
_cell_length_c 6.896
_cell_angle_alpha 90.00
_cell_angle_beta 103.08
_cell_angle_gamma 90.00
loop_
_atom_site_label
_atom_site_type_symbol
_atom_site_fract_x
_atom_site_fract_y
_atom_site_fract_z
_atom_site_occupancy
Tl1 Tl 0.000 0.000 0.000 1
Tl2 Tl 0.338 0.500 0.699 1
Cd1 Cd 0.589 0.500 0.209 1
In1 In 0.731 0.000 0.475 1
# - density (kg/m³) = 9235
# - magnetic moment (μB/atom) = 0.000
# - ΔH_f (0 K) (kJ/mol of atoms) = 3.2
# - electronic total energy (eV/cell) = -8.25



No. 4
# Tl2Cd5In2, relaxed, DFT GGA-PBE
data_Tl2Cd5In2
_chemical_formula_sum 'Tl8 Cd20 In8'
_space_group_name_H-M_alt 'C 1 2 1'
_space_group_IT_number 5
_space_group_name_Hall 'C 2y'
_cell_length_a 15.373
_cell_length_b 11.601
_cell_length_c 5.638
_cell_angle_alpha 90.00
_cell_angle_beta 109.95
_cell_angle_gamma 90.00
loop_
_atom_site_label
_atom_site_type_symbol
_atom_site_fract_x
_atom_site_fract_y
_atom_site_fract_z
_atom_site_occupancy
Tl1 Tl 0.124 0.000 0.095 1
Tl2 Tl 0.127 0.498 0.629 1
Cd1 Cd 0.048 0.254 0.799 1
Cd2 Cd 0.049 0.734 0.807 1
Cd3 Cd 0.150 0.773 0.420 1
Cd4 Cd 0.152 0.231 0.415 1
Cd5 Cd 0.250 0.257 0.999 1
In1 In 0.000 0.493 0.000 1
In2 In 0.000 0.995 0.500 1
In3 In 0.245 0.505 0.260 1
# - density (kg/m³) = 8437
# - magnetic moment (μB/atom) = 0.000
# - ΔH_f (0 K) (kJ/mol of atoms) = 4.2
# - electronic total energy (eV/cell) = -57.59



No. 5
# TlCd3In, relaxed, DFT GGA-PBE
data_TlCd3In
_chemical_formula_sum 'Tl1 Cd3 In1'
_space_group_name_H-M_alt 'P m -3 m'
_space_group_IT_number 221
_space_group_name_Hall '-P 4 2 3'
_cell_length_a 5.548
_cell_length_b 5.548
_cell_length_c 5.548
_cell_angle_alpha 90.00
_cell_angle_beta 90.00
_cell_angle_gamma 90.00
loop_
_atom_site_label
_atom_site_type_symbol
_atom_site_fract_x
_atom_site_fract_y
_atom_site_fract_z
_atom_site_occupancy
Tl1 Tl 0.000 0.000 0.000 1
Cd1 Cd 0.000 0.500 0.500 1
In1 In 0.500 0.500 0.500 1
# - density (kg/m³) = 6382
# - magnetic moment (μB/atom) = 0.000
# - ΔH_f (0 K) (kJ/mol of atoms) = 27.4
# - electronic total energy (eV/cell) = -6.43



No. 6
# Tl2CdIn, relaxed, DFT GGA-PBE
data_Tl2CdIn
_chemical_formula_sum 'Tl2 Cd1 In1'
_space_group_name_H-M_alt 'P 4 m m'
_space_group_IT_number 99
_space_group_name_Hall 'P 4 -2'
_cell_length_a 3.409
_cell_length_b 3.409
_cell_length_c 9.604
_cell_angle_alpha 90.00
_cell_angle_beta 90.00
_cell_angle_gamma 90.00
loop_
_atom_site_label
_atom_site_type_symbol
_atom_site_fract_x
_atom_site_fract_y
_atom_site_fract_z
_atom_site_occupancy
Tl1 Tl 0.000 0.000 0.000 1
Tl2 Tl 0.500 0.500 0.281 1
Cd1 Cd 0.000 0.000 0.520 1
In1 In 0.500 0.500 0.741 1
# - density (kg/m³) = 9463
# - magnetic moment (μB/atom) = 0.000
# - ΔH_f (0 K) (kJ/mol of atoms) = 1.9
# - electronic total energy (eV/cell) = -8.31



No. 7
# TlCdIn2, relaxed, DFT GGA-PBE
data_TlCdIn2
_chemical_formula_sum 'Tl2 Cd2 In4'
_space_group_name_H-M_alt 'I -4 m 2'
_space_group_IT_number 119
_space_group_name_Hall 'I -4 -2'
_cell_length_a 4.927
_cell_length_b 4.927
_cell_length_c 8.955
_cell_angle_alpha 90.00
_cell_angle_beta 90.00
_cell_angle_gamma 90.00
loop_
_atom_site_label
_atom_site_type_symbol
_atom_site_fract_x
_atom_site_fract_y
_atom_site_fract_z
_atom_site_occupancy
Tl1 Tl 0.000 0.000 0.000 1
Cd1 Cd 0.000 0.500 0.750 1
In1 In 0.000 0.000 0.500 1
In2 In 0.000 0.500 0.250 1
# - density (kg/m³) = 8349
# - magnetic moment (μB/atom) = 0.000
# - ΔH_f (0 K) (kJ/mol of atoms) = 4.1
# - electronic total energy (eV/cell) = -17.17



No. 8
# Tl7Cd2In3, relaxed, DFT GGA-PBE
data_Tl7Cd2In3
_chemical_formula_sum 'Tl7 Cd2 In3'
_space_group_name_H-M_alt 'P 1 2/m 1'
_space_group_IT_number 10
_space_group_name_Hall '-P 2y'
_cell_length_a 6.117
_cell_length_b 3.360
_cell_length_c 17.009
_cell_angle_alpha 90.00
_cell_angle_beta 95.58
_cell_angle_gamma 90.00
loop_
_atom_site_label
_atom_site_type_symbol
_atom_site_fract_x
_atom_site_fract_y
_atom_site_fract_z
_atom_site_occupancy
Tl1 Tl 0.000 0.000 0.000 1
Tl2 Tl 0.206 0.500 0.176 1
Tl3 Tl 0.248 0.500 0.489 1
Tl4 Tl 0.300 0.000 0.831 1
Cd1 Cd 0.089 0.500 0.670 1
In1 In 0.436 0.000 0.338 1
In2 In 0.500 0.500 0.000 1
# - density (kg/m³) = 9544
# - magnetic moment (μB/atom) = 0.000
# - ΔH_f (0 K) (kJ/mol of atoms) = 4.8
# - electronic total energy (eV/cell) = -26.01



Going through the records in order, we get volume values of 26.338, 29.685, 28.591, 26.253, 34.159, 27.899, 27.171, 28.997 A^3/atom.